Entry 1:
## CeAs2Rh4 (PBE)

Data for a relaxed CeAs2Rh4 crystal.

Values from the calculation:
- calculated total energy (eV per atom) = -7.066
- formation enthalpy at 0 K (eV/atom) = -0.69

Cell lengths 4.142, 6.773, 16.772 Å; angles 90.00, 90.00, 90.00 degrees
Atoms (fractional coordinates):
Rh: 0.750 0.630 0.969
Rh: 0.750 0.371 0.323
Rh: 0.250 0.130 0.531
Rh: 0.250 0.370 0.031
Rh: 0.250 0.280 0.212
Rh: 0.750 0.780 0.288
Rh: 0.750 0.129 0.823
Rh: 0.750 0.506 0.566
Rh: 0.750 0.720 0.788
Rh: 0.250 0.006 0.934
Rh: 0.750 0.994 0.066
Rh: 0.250 0.494 0.434
Rh: 0.250 0.629 0.677
Rh: 0.250 0.220 0.712
Rh: 0.250 0.871 0.177
Rh: 0.750 0.870 0.469
Ce: 0.250 0.026 0.358
Ce: 0.250 0.474 0.858
Ce: 0.750 0.974 0.642
Ce: 0.750 0.526 0.142
As: 0.250 0.757 0.038
As: 0.750 0.243 0.962
As: 0.750 0.257 0.462
As: 0.250 0.743 0.538
As: 0.250 0.915 0.791
As: 0.250 0.585 0.291
As: 0.750 0.085 0.209
As: 0.750 0.415 0.709


Entry 2:
## ZrGaCu3 (PBE)

Data for a relaxed ZrGaCu3 crystal.

Values from the calculation:
- calculated total energy (eV per atom) = -4.914
- formation enthalpy at 0 K (eV/atom) = -0.14

Cell lengths 3.914, 8.018, 9.704 Å; angles 90.00, 90.00, 90.00 degrees
Atoms (fractional coordinates):
Cu: 0.750 0.112 0.801
Cu: 0.250 0.101 0.375
Cu: 0.750 0.899 0.625
Cu: 0.250 0.887 0.799
Cu: 0.750 0.613 0.299
Cu: 0.250 0.888 0.199
Cu: 0.750 0.113 0.201
Cu: 0.750 0.399 0.875
Cu: 0.750 0.612 0.699
Cu: 0.250 0.601 0.125
Cu: 0.250 0.388 0.301
Cu: 0.250 0.387 0.701
Ga: 0.250 0.599 0.875
Ga: 0.750 0.901 0.375
Ga: 0.250 0.099 0.625
Ga: 0.750 0.401 0.125
Zr: 0.750 0.823 0.001
Zr: 0.250 0.677 0.501
Zr: 0.750 0.323 0.499
Zr: 0.250 0.177 0.999


Entry 3:
## AlGa2H6 (PBE)

Data for a relaxed AlGa2H6 crystal.

Values from the calculation:
- calculated total energy (eV per atom) = -2.924

Cell lengths 4.858, 4.858, 4.858 Å; angles 60.00, 60.00, 60.00 degrees
Atoms (fractional coordinates):
H: 0.745 0.255 0.745
H: 0.745 0.745 0.255
H: 0.255 0.745 0.255
H: 0.745 0.255 0.255
H: 0.255 0.255 0.745
H: 0.255 0.745 0.745
Ga: 0.750 0.750 0.750
Ga: 0.250 0.250 0.250
Al: 0.000 0.000 0.000


Entry 4:
## KCaCdS2 (PBE)

Data for a relaxed KCaCdS2 crystal.

Values from the calculation:
- calculated total energy (eV per atom) = -3.429
- raw formation energy (eV/atom) = -0.9749

Cell lengths 5.446, 7.441, 7.819 Å; angles 99.16, 90.00, 90.00 degrees
Atoms (fractional coordinates):
K: 0.809 0.500 0.250
K: 0.191 0.500 0.750
S: 0.340 0.239 0.035
S: 0.340 0.761 0.465
S: 0.660 0.239 0.535
S: 0.660 0.761 0.965
Cd: 0.000 0.000 0.500
Cd: 0.000 0.000 0.000
Ca: 0.493 0.000 0.250
Ca: 0.507 0.000 0.750


Entry 5:
## ErAlFeGe2 (PBE)

Data for a relaxed ErAlFeGe2 crystal.

Values from the calculation:
- calculated total energy (eV per atom) = -5.622
- formation enthalpy at 0 K (eV/atom) = -0.42

Cell lengths 5.582, 5.502, 5.558 Å; angles 90.00, 90.00, 90.00 degrees
Atoms (fractional coordinates):
Ge: 0.740 0.250 0.257
Ge: 0.260 0.750 0.257
Ge: 0.740 0.250 0.743
Ge: 0.260 0.750 0.743
Al: 0.646 0.750 0.000
Al: 0.354 0.250 0.000
Er: 0.784 0.750 0.500
Er: 0.216 0.250 0.500
Fe: 0.000 0.000 0.000
Fe: 0.000 0.500 0.000


Entry 6:
## KCdB2H8 (PBE)

Data for a relaxed KCdB2H8 crystal.

Values from the calculation:
- calculated total energy (eV per atom) = -3.637

Cell lengths 4.767, 4.767, 7.885 Å; angles 72.41, 72.41, 60.00 degrees
Atoms (fractional coordinates):
H: 0.813 0.813 0.560
H: 0.470 0.802 0.787
H: 0.058 0.530 0.213
H: 0.198 0.058 0.213
H: 0.802 0.942 0.787
H: 0.942 0.470 0.787
H: 0.530 0.198 0.213
H: 0.187 0.187 0.440
B: 0.758 0.758 0.726
B: 0.242 0.242 0.274
K: 0.500 0.500 0.500
Cd: 0.000 0.000 0.000


Entry 7:
## TcPb2Se (PBE)

Data for a relaxed TcPb2Se crystal.

Values from the calculation:
- calculated total energy (eV per atom) = -5.122
- raw formation energy (eV/atom) = 0.1948

Cell lengths 7.357, 7.357, 7.357 Å; angles 154.24, 144.48, 44.39 degrees
Atoms (fractional coordinates):
Se: 0.420 0.420 0.000
Tc: 0.285 0.785 0.500
Pb: 0.733 0.233 0.500
Pb: 0.061 0.061 0.000


Entry 8:
## Mg2ReTc (PBE)

Data for a relaxed Mg2ReTc crystal.

Values from the calculation:
- calculated total energy (eV per atom) = -6.482
- formation enthalpy at 0 K (eV/atom) = 0.02

Cell lengths 3.077, 3.077, 7.227 Å; angles 90.00, 90.00, 90.00 degrees
Atoms (fractional coordinates):
Mg: 0.000 0.000 0.972
Mg: 0.500 0.500 0.276
Re: 0.000 0.000 0.530
Tc: 0.500 0.500 0.721


Entry 9:
## LiBeCr (PBE)

Data for a relaxed LiBeCr crystal.

Values from the calculation:
- calculated total energy (eV per atom) = -4.842
- formation enthalpy at 0 K (eV/atom) = 0.25

Cell lengths 6.310, 6.309, 2.330 Å; angles 79.37, 79.36, 21.28 degrees
Atoms (fractional coordinates):
Be: 0.993 0.993 0.007
Li: 0.660 0.660 0.340
Cr: 0.347 0.347 0.653


Entry 10:
## Be2CoI (PBE)

Data for a relaxed Be2CoI crystal.

Values from the calculation:
- calculated total energy (eV per atom) = -2.938
- raw formation energy (eV/atom) = 1.0889

Cell lengths 4.229, 4.229, 4.229 Å; angles 60.00, 60.00, 60.00 degrees
Atoms (fractional coordinates):
Be: 0.750 0.750 0.750
Be: 0.250 0.250 0.250
I: 0.500 0.500 0.500
Co: 0.000 0.000 0.000


Entry 11:
## SbH2W (PBE)

Data for a relaxed SbH2W crystal.

Values from the calculation:
- calculated total energy (eV per atom) = -4.626

Cell lengths 4.051, 4.051, 4.051 Å; angles 60.00, 60.00, 60.00 degrees
Atoms (fractional coordinates):
H: 0.750 0.750 0.750
H: 0.250 0.250 0.250
W: 0.500 0.500 0.500
Sb: 0.000 0.000 0.000


Entry 12:
## AlReHg2 (PBE)

Data for a relaxed AlReHg2 crystal.

Values from the calculation:
- calculated total energy (eV per atom) = -3.757
- formation enthalpy at 0 K (eV/atom) = 0.44

Cell lengths 3.237, 3.237, 7.148 Å; angles 90.00, 90.00, 90.00 degrees
Atoms (fractional coordinates):
Re: 0.000 0.000 0.545
Hg: 0.000 0.000 0.976
Hg: 0.500 0.500 0.277
Al: 0.500 0.500 0.702


Entry 13:
## LaTbDy6Er2 (PBE)

Data for a relaxed LaTbDy6Er2 crystal.

Values from the calculation:
- calculated total energy (eV per atom) = -4.508
- formation enthalpy at 0 K (eV/atom) = 0.12

Cell lengths 9.437, 8.795, 8.795 Å; angles 116.74, 92.79, 92.79 degrees
Atoms (fractional coordinates):
Tb: 0.750 0.589 0.411
Tb: 0.250 0.411 0.589
Dy: 0.442 0.245 0.881
Dy: 0.386 0.518 0.292
Dy: 0.558 0.755 0.119
Dy: 0.180 0.556 0.012
Dy: 0.886 0.292 0.518
Dy: 0.114 0.708 0.482
Dy: 0.058 0.119 0.755
Dy: 0.614 0.482 0.708
Dy: 0.320 0.988 0.444
Dy: 0.942 0.881 0.245
Dy: 0.680 0.012 0.556
Dy: 0.820 0.444 0.988
La: 0.250 0.966 0.034
La: 0.750 0.034 0.966
Er: 0.052 0.305 0.201
Er: 0.448 0.799 0.695
Er: 0.948 0.695 0.799
Er: 0.552 0.201 0.305


Entry 14:
## Nd5HgS4 (PBE)

Data for a relaxed Nd5HgS4 crystal.

Values from the calculation:
- calculated total energy (eV per atom) = -5.748
- raw formation energy (eV/atom) = -1.6833

Cell lengths 4.100, 7.204, 9.290 Å; angles 75.93, 77.25, 73.47 degrees
Atoms (fractional coordinates):
Nd: 0.204 0.905 0.688
Nd: 0.796 0.095 0.312
Nd: 0.000 0.500 0.500
Nd: 0.387 0.334 0.892
Nd: 0.613 0.666 0.108
S: 0.597 0.206 0.601
S: 0.403 0.794 0.399
S: 0.797 0.615 0.792
S: 0.203 0.385 0.208
Hg: 0.000 0.000 0.000


Entry 15:
## BeInSbI2 (PBE)

Data for a relaxed BeInSbI2 crystal.

Values from the calculation:
- calculated total energy (eV per atom) = -1.941
- raw formation energy (eV/atom) = 0.7969

Cell lengths 5.968, 5.968, 5.868 Å; angles 90.00, 90.00, 90.00 degrees
Atoms (fractional coordinates):
In: 0.000 0.000 0.000
Sb: 0.000 0.000 0.500
I: 0.000 0.500 0.000
I: 0.500 0.000 0.000
Be: 0.500 0.500 0.500


Entry 16:
## NaZn2As2 (PBE)

Data for a relaxed NaZn2As2 crystal.

Values from the calculation:
- calculated total energy (eV per atom) = -2.657
- formation enthalpy at 0 K (eV/atom) = -0.02

Cell lengths 7.808, 7.808, 3.181 Å; angles 90.00, 90.00, 90.00 degrees
Atoms (fractional coordinates):
Zn: 0.633 0.867 0.500
Zn: 0.367 0.133 0.500
Zn: 0.133 0.633 0.500
Zn: 0.867 0.367 0.500
As: 0.838 0.662 0.000
As: 0.662 0.162 0.000
As: 0.162 0.338 0.000
As: 0.338 0.838 0.000
Na: 0.000 0.000 0.000
Na: 0.500 0.500 0.000


Entry 17:
## Cr4AsW (PBE)

Data for a relaxed Cr4AsW crystal.

Values from the calculation:
- calculated total energy (eV per atom) = -9.100
- formation enthalpy at 0 K (eV/atom) = 0.25

Cell lengths 4.792, 4.792, 4.792 Å; angles 60.00, 60.00, 60.00 degrees
Atoms (fractional coordinates):
Cr: 0.374 0.878 0.374
Cr: 0.374 0.374 0.374
Cr: 0.374 0.374 0.878
Cr: 0.878 0.374 0.374
W: 0.750 0.750 0.750
As: 0.000 0.000 0.000


Entry 18:
## ZrMn6 (PBE)

Data for a relaxed ZrMn6 crystal.

Values from the calculation:
- calculated total energy (eV per atom) = -8.230
- formation enthalpy at 0 K (eV/atom) = 0.85

Cell lengths 5.197, 5.197, 5.197 Å; angles 109.47, 109.47, 109.47 degrees
Atoms (fractional coordinates):
Mn: 0.250 0.750 0.500
Mn: 0.750 0.500 0.250
Mn: 0.750 0.250 0.500
Mn: 0.500 0.750 0.250
Mn: 0.250 0.500 0.750
Mn: 0.500 0.250 0.750
Zr: 0.000 0.000 0.000


Entry 19:
## BeZnCdP2 (PBE)

Data for a relaxed BeZnCdP2 crystal.

Values from the calculation:
- calculated total energy (eV per atom) = -1.898
- formation enthalpy at 0 K (eV/atom) = 1.45

Cell lengths 5.004, 4.850, 5.004 Å; angles 90.00, 90.00, 90.00 degrees
Atoms (fractional coordinates):
Be: 0.500 0.500 0.500
P: 0.500 0.000 0.000
P: 0.000 0.000 0.500
Zn: 0.000 0.500 0.000
Cd: 0.000 0.000 0.000


Entry 20:
## CaCo2Cl (PBE)

Data for a relaxed CaCo2Cl crystal.

Values from the calculation:
- calculated total energy (eV per atom) = -3.947
- raw formation energy (eV/atom) = 0.5682

Cell lengths 8.322, 8.322, 8.322 Å; angles 21.99, 21.99, 21.99 degrees
Atoms (fractional coordinates):
Co: 0.487 0.487 0.487
Co: 0.013 0.013 0.013
Ca: 0.250 0.250 0.250
Cl: 0.750 0.750 0.750


Entry 21:
## KCuRu3 (PBE)

Data for a relaxed KCuRu3 crystal.

Values from the calculation:
- calculated total energy (eV per atom) = -4.881
- formation enthalpy at 0 K (eV/atom) = 1.72

Cell lengths 4.712, 4.712, 4.712 Å; angles 90.00, 90.00, 90.00 degrees
Atoms (fractional coordinates):
Ru: 0.000 0.500 0.000
Ru: 0.500 0.000 0.000
Ru: 0.000 0.000 0.500
K: 0.500 0.500 0.500
Cu: 0.000 0.000 0.000


Entry 22:
## AlHg2BC (PBE)

Data for a relaxed AlHg2BC crystal.

Values from the calculation:
- calculated total energy (eV per atom) = -2.623
- formation enthalpy at 0 K (eV/atom) = 1.43

Cell lengths 4.928, 3.693, 4.928 Å; angles 90.00, 90.00, 90.00 degrees
Atoms (fractional coordinates):
Al: 0.000 0.500 0.000
B: 0.500 0.500 0.500
Hg: 0.000 0.000 0.500
Hg: 0.500 0.000 0.000
C: 0.000 0.000 0.000


Entry 23:
## NbTlNiS3 (PBE)

Data for a relaxed NbTlNiS3 crystal.

Values from the calculation:
- calculated total energy (eV per atom) = -5.825
- raw formation energy (eV/atom) = -0.7249

Cell lengths 3.469, 7.608, 9.407 Å; angles 90.00, 90.00, 103.14 degrees
Atoms (fractional coordinates):
Nb: 0.000 0.000 0.000
Nb: 0.000 0.000 0.500
S: 0.618 0.236 0.443
S: 0.065 0.128 0.750
S: 0.382 0.764 0.943
S: 0.618 0.236 0.057
S: 0.935 0.872 0.250
S: 0.382 0.764 0.557
Ni: 0.471 0.939 0.750
Ni: 0.529 0.061 0.250
Tl: 0.251 0.502 0.250
Tl: 0.749 0.498 0.750


Entry 24:
## SrInBr2Cl (PBE)

Data for a relaxed SrInBr2Cl crystal.

Values from the calculation:
- calculated total energy (eV per atom) = -3.555
- raw formation energy (eV/atom) = -1.6320

Cell lengths 4.775, 7.810, 12.442 Å; angles 129.22, 90.00, 90.00 degrees
Atoms (fractional coordinates):
Sr: 0.250 0.325 0.074
Sr: 0.750 0.675 0.926
Br: 0.250 0.544 0.388
Br: 0.250 0.333 0.823
Br: 0.750 0.667 0.177
Br: 0.750 0.456 0.612
In: 0.250 0.157 0.405
In: 0.750 0.843 0.595
Cl: 0.250 0.950 0.081
Cl: 0.750 0.050 0.919